Version P
Here is crystalline BaPrNO at its relaxed geometry from the Open Quantum Materials Database. Energies are from GGA-PBE.

Cell: 4.383 4.383 8.729 Å, 90.00 90.00 90.00°
Space group P4/nmm (No. 129, origin choice 2)
Symmetry-distinct sites (fractional):
Ba1 0.250 0.750 0.000 x2
Pr1 0.250 0.250 0.390 x2
N1 0.250 0.250 0.824 x2
O1 0.250 0.750 0.500 x2

Computed properties:
For the size of the total moment, the calculation gives 0.002 μB/cell.

---

Version Q
Here is crystalline BaPrNO at its relaxed geometry from the Open Quantum Materials Database. Energies are from GGA-PBE.

Cell: 5.307 5.307 5.513 Å, 90.00 90.00 90.00°
Space group P4/nmm (No. 129, origin choice 2)
Symmetry-distinct sites (fractional):
Ba1 0.250 0.250 0.002 x2
Pr1 0.250 0.750 0.500 x2
N1 0.250 0.250 0.503 x2
O1 0.250 0.750 0.000 x2

Computed properties:
For the size of the total moment, the calculation gives 0.001 μB/cell.

---

Name the least stable of them. version P.

---

Version P
Here is crystalline SrCuBiPd at its relaxed geometry from the Open Quantum Materials Database. Energies are from GGA-PBE.

Cell: 7.122 7.122 7.122 Å, 90.00 90.00 90.00°
Space group F-43m (No. 216)
Symmetry-distinct sites (fractional):
Sr1 0.000 0.000 0.000 x4
Cu1 0.250 0.250 0.250 x4
Bi1 0.000 0.000 0.500 x4
Pd1 0.250 0.250 0.750 x4

---

Version Q
Here is crystalline SrCuBiPd at its relaxed geometry from the Open Quantum Materials Database. Energies are from GGA-PBE.

Cell: 7.132 7.132 7.132 Å, 90.00 90.00 90.00°
Space group F-43m (No. 216)
Symmetry-distinct sites (fractional):
Sr1 0.000 0.000 0.000 x4
Cu1 0.250 0.250 0.250 x4
Bi1 0.250 0.250 0.750 x4
Pd1 0.000 0.000 0.500 x4

---

Name the least stable of them. version Q.

---

Version P
Here is crystalline CsLuB at its relaxed geometry from the Open Quantum Materials Database. Energies are from GGA-PBE.

Cell: 6.840 6.840 6.840 Å, 90.00 90.00 90.00°
Space group F-43m (No. 216)
Symmetry-distinct sites (fractional):
Cs1 0.000 0.000 0.000 x4
Lu1 0.250 0.250 0.250 x4
B1 0.250 0.250 0.750 x4

Computed properties:
For the size of the total moment, the calculation gives 0.038 μB/cell.

---

Version Q
Here is crystalline CsLuB at its relaxed geometry from the Open Quantum Materials Database. Energies are from GGA-PBE.

Cell: 6.900 6.900 6.900 Å, 90.00 90.00 90.00°
Space group F-43m (No. 216)
Symmetry-distinct sites (fractional):
Cs1 0.000 0.000 0.000 x4
Lu1 0.250 0.250 0.750 x4
B1 0.000 0.000 0.500 x4

Computed properties:
For the size of the total moment, the calculation gives 0.028 μB/cell.

---

Name the least stable of them. version P.